[1]
Density functional theory data (PBE) for a geometry-optimized TbTlO3 structure.

Properties
The mass density is 8.07 g/cm3. The calculation puts the formation energy from raw total energies at -2043 meV/atom. The crystal system is monoclinic.

CIF file:
```
data_TbTlO3
_symmetry_space_group_name_H-M 'P 1 21/m 1'
_symmetry_Int_Tables_number 11
_symmetry_space_group_name_Hall '-P 2yb'
_cell_length_a 5.610
_cell_length_b 3.778
_cell_length_c 8.076
_cell_angle_alpha 90.00
_cell_angle_beta 98.40
_cell_angle_gamma 90.00
loop_
_atom_site_label
_atom_site_type_symbol
_atom_site_fract_x
_atom_site_fract_y
_atom_site_fract_z
_atom_site_occupancy
Tb1 Tb 0.236 0.250 0.398 1
Tl1 Tl 0.363 0.250 0.841 1
O1 O 0.044 0.250 0.647 1
O2 O 0.388 0.250 0.113 1
O3 O 0.458 0.750 0.385 1
```

---

[2]
Density functional theory data (PBE) for a geometry-optimized TlTeS2 structure.

Properties
The mass density is 7.31 g/cm3. The calculation puts the formation energy from raw total energies at 315 meV/atom. The density of states at the Fermi level comes out at 8.79 states/eV per cell. The crystal system is cubic.

CIF file:
```
data_TlTeS2
_symmetry_space_group_name_H-M 'F m -3 m'
_symmetry_Int_Tables_number 225
_symmetry_space_group_name_Hall '-F 4 2 3'
_cell_length_a 7.115
_cell_length_b 7.115
_cell_length_c 7.115
_cell_angle_alpha 90.00
_cell_angle_beta 90.00
_cell_angle_gamma 90.00
loop_
_atom_site_label
_atom_site_type_symbol
_atom_site_fract_x
_atom_site_fract_y
_atom_site_fract_z
_atom_site_occupancy
Tl1 Tl 0.000 0.000 0.000 1
Te1 Te 0.000 0.000 0.500 1
S1 S 0.250 0.250 0.250 1
```

---

[3]
Density functional theory data (PBE) for a geometry-optimized Nd5Sm12Er structure.

Properties
The value obtained for the energy of formation from the pure elements is 0.27 eV/f.u. The mass density is 7.30 g/cm3. The density of states at the Fermi level comes out at 47.75 states/eV per cell. The crystal system is monoclinic.

CIF file:
```
data_Nd5Sm12Er
_symmetry_space_group_name_H-M 'C 1 2/m 1'
_symmetry_Int_Tables_number 12
_symmetry_space_group_name_Hall '-C 2y'
_cell_length_a 18.885
_cell_length_b 10.920
_cell_length_c 6.291
_cell_angle_alpha 90.00
_cell_angle_beta 109.26
_cell_angle_gamma 90.00
loop_
_atom_site_label
_atom_site_type_symbol
_atom_site_fract_x
_atom_site_fract_y
_atom_site_fract_z
_atom_site_occupancy
Nd1 Nd 0.000 0.000 0.000 1
Nd2 Nd 0.166 0.500 0.998 1
Nd3 Nd 0.167 0.000 0.501 1
Sm1 Sm 0.000 0.168 0.500 1
Sm2 Sm 0.000 0.334 0.000 1
Sm3 Sm 0.166 0.334 0.499 1
Sm4 Sm 0.167 0.167 0.001 1
Er1 Er 0.000 0.500 0.500 1
```

---

[4]
Density functional theory data (PBE) for a geometry-optimized HgPb3Se4 structure.

Properties
The mass density is 6.34 g/cm3. The calculation puts the formation energy from raw total energies at -343 meV/atom. The density of states at the Fermi level comes out at 0.41 states/eV per cell. The crystal system is trigonal.

CIF file:
```
data_HgPb3Se4
_symmetry_space_group_name_H-M 'R 3 m'
_symmetry_Int_Tables_number 160
_symmetry_space_group_name_Hall 'R 3 -2"'
_cell_length_a 4.4147
_cell_length_b 4.4147
_cell_length_c 52.9448
_cell_angle_alpha 90.00
_cell_angle_beta 90.00
_cell_angle_gamma 120.00
loop_
_atom_site_label
_atom_site_type_symbol
_atom_site_fract_x
_atom_site_fract_y
_atom_site_fract_z
_atom_site_occupancy
Hg1 Hg 0.0000 0.0000 0.0000 1
Pb1 Pb 0.0000 0.0000 0.2557 1
Pb2 Pb 0.0000 0.0000 0.5012 1
Pb3 Pb 0.0000 0.0000 0.7465 1
Se1 Se 0.0000 0.0000 0.0538 1
Se2 Se 0.0000 0.0000 0.3179 1
Se3 Se 0.0000 0.0000 0.5623 1
Se4 Se 0.0000 0.0000 0.8078 1
```

---

[5]
Density functional theory data (PBE) for a geometry-optimized NpCuSi2Pt structure.

Properties
The mass density is 11.06 g/cm3. The calculation puts the formation energy from raw total energies at -530 meV/atom. The density of states at the Fermi level comes out at 20.62 states/eV per cell. The crystal system is tetragonal.

CIF file:
```
data_NpCuSi2Pt
_symmetry_space_group_name_H-M 'I -4 m 2'
_symmetry_Int_Tables_number 119
_symmetry_space_group_name_Hall 'I -4 -2'
_cell_length_a 4.030
_cell_length_b 4.030
_cell_length_c 10.201
_cell_angle_alpha 90.00
_cell_angle_beta 90.00
_cell_angle_gamma 90.00
loop_
_atom_site_label
_atom_site_type_symbol
_atom_site_fract_x
_atom_site_fract_y
_atom_site_fract_z
_atom_site_occupancy
Np1 Np 0.000 0.000 0.000 1
Cu1 Cu 0.000 0.500 0.250 1
Si1 Si 0.000 0.000 0.385 1
Pt1 Pt 0.000 0.500 0.750 1
```

---

[6]
Density functional theory data (PBE) for a geometry-optimized KTaMn2Al structure.

Properties
The value obtained for the energy of formation from the pure elements is 4.87 eV/f.u. The mass density is 4.59 g/cm3. The density of states at the Fermi level comes out at 2.94 states/eV per cell. The crystal system is tetragonal.

CIF file:
```
data_KTaMn2Al
_symmetry_space_group_name_H-M 'P 4/m m m'
_symmetry_Int_Tables_number 123
_symmetry_space_group_name_Hall '-P 4 2'
_cell_length_a 4.928
_cell_length_b 4.928
_cell_length_c 5.318
_cell_angle_alpha 90.00
_cell_angle_beta 90.00
_cell_angle_gamma 90.00
loop_
_atom_site_label
_atom_site_type_symbol
_atom_site_fract_x
_atom_site_fract_y
_atom_site_fract_z
_atom_site_occupancy
K1 K 0.000 0.000 0.000 1
Ta1 Ta 0.500 0.500 0.500 1
Mn1 Mn 0.000 0.500 0.500 1
Al1 Al 0.500 0.500 0.000 1
```

---

[7]
Density functional theory data (PBE) for a geometry-optimized NaAgO2F structure.

Properties
The mass density is 3.95 g/cm3. The calculation puts the formation energy from raw total energies at -10 meV/atom. The density of states at the Fermi level comes out at 3.29 states/eV per cell. The crystal system is tetragonal.

CIF file:
```
data_NaAgO2F
_symmetry_space_group_name_H-M 'P 4/m m m'
_symmetry_Int_Tables_number 123
_symmetry_space_group_name_Hall '-P 4 2'
_cell_length_a 4.294
_cell_length_b 4.294
_cell_length_c 4.140
_cell_angle_alpha 90.00
_cell_angle_beta 90.00
_cell_angle_gamma 90.00
loop_
_atom_site_label
_atom_site_type_symbol
_atom_site_fract_x
_atom_site_fract_y
_atom_site_fract_z
_atom_site_occupancy
Na1 Na 0.000 0.000 0.000 1
Ag1 Ag 0.500 0.500 0.500 1
O1 O 0.000 0.500 0.000 1
F1 F 0.000 0.000 0.500 1
```

---

[8]
Density functional theory data (PBE) for a geometry-optimized CaTl3Sb structure.

Properties
The mass density is 6.43 g/cm3. The calculation puts the formation energy from raw total energies at 266 meV/atom. The density of states at the Fermi level comes out at 3.29 states/eV per cell. The crystal system is cubic.

CIF file:
```
data_CaTl3Sb
_symmetry_space_group_name_H-M 'P m -3 m'
_symmetry_Int_Tables_number 221
_symmetry_space_group_name_Hall '-P 4 2 3'
_cell_length_a 5.850
_cell_length_b 5.850
_cell_length_c 5.850
_cell_angle_alpha 90.00
_cell_angle_beta 90.00
_cell_angle_gamma 90.00
loop_
_atom_site_label
_atom_site_type_symbol
_atom_site_fract_x
_atom_site_fract_y
_atom_site_fract_z
_atom_site_occupancy
Ca1 Ca 0.000 0.000 0.000 1
Tl1 Tl 0.000 0.500 0.500 1
Sb1 Sb 0.500 0.500 0.500 1
```